Below is a relaxed BaHf3Zn2 crystal, with properties calculated at the PBE level.

```
data_BaHf3Zn2
_chemical_formula_sum 'Ba1 Hf3 Zn2'
_cell_length_a 3.333
_cell_length_b 3.333
_cell_length_c 12.507
_cell_angle_alpha 90.00
_cell_angle_beta 90.00
_cell_angle_gamma 90.00
_space_group_name_H-M_alt 'P 4 m m'
_space_group_IT_number 99
_space_group_name_Hall 'P 4 -2'
loop_
_atom_site_label
_atom_site_fract_x
_atom_site_fract_y
_atom_site_fract_z
Ba1 0.000 0.000 0.000
Hf1 0.000 0.000 0.333
Hf2 0.500 0.500 0.489
Hf3 0.500 0.500 0.756
Zn1 0.000 0.000 0.629
Zn2 0.500 0.500 0.200
```

Its total magnetic moment is 0.027 μB per formula unit.

Below is a relaxed BaHfZn crystal, with properties calculated at the PBE level.

```
data_BaHfZn
_chemical_formula_sum 'Ba2 Hf2 Zn2'
_cell_length_a 3.605
_cell_length_b 3.605
_cell_length_c 13.100
_cell_angle_alpha 90.00
_cell_angle_beta 90.00
_cell_angle_gamma 90.00
_space_group_name_H-M_alt 'P 4/n m m'
_space_group_IT_number 129
loop_
_space_group_symop_operation_xyz
'x,y,z'
'-x,-y,-z'
'-y+1/2,x,z'
'y+1/2,-x,-z'
'-x+1/2,-y+1/2,z'
'x+1/2,y+1/2,-z'
'y,-x+1/2,z'
'-y,x+1/2,-z'
'x+1/2,-y,-z'
'-x+1/2,y,z'
'-y,-x,-z'
'y,x,z'
'-x,y+1/2,-z'
'x,-y+1/2,z'
'y+1/2,x+1/2,-z'
'-y+1/2,-x+1/2,z'
loop_
_atom_site_label
_atom_site_fract_x
_atom_site_fract_y
_atom_site_fract_z
Ba1 0.250 0.250 0.148
Hf1 0.250 0.250 0.431
Zn1 0.250 0.250 0.668
```

The relative energy among the computed polymorphs comes out at 0 meV per atom. Its total magnetic moment is 0.004 μB per formula unit.

Below is a relaxed BaHfZn crystal, with properties calculated at the PBE level.

```
data_BaHfZn
_chemical_formula_sum 'Ba4 Hf4 Zn4'
_cell_length_a 7.212
_cell_length_b 7.212
_cell_length_c 7.212
_cell_angle_alpha 90.00
_cell_angle_beta 90.00
_cell_angle_gamma 90.00
_space_group_name_H-M_alt 'F -4 3 m'
_space_group_IT_number 216
_space_group_name_Hall 'F -4 2 3'
loop_
_atom_site_label
_atom_site_fract_x
_atom_site_fract_y
_atom_site_fract_z
Ba1 0.000 0.000 0.000
Hf1 0.250 0.250 0.750
Zn1 0.250 0.250 0.250
```

The relative energy among the computed polymorphs comes out at 1295 meV per atom. Its total magnetic moment is 0.000 μB per formula unit.

Below is a relaxed BaHfZn crystal, with properties calculated at the PBE level.

```
data_BaHfZn
_chemical_formula_sum 'Ba2 Hf2 Zn2'
_cell_length_a 3.585
_cell_length_b 3.585
_cell_length_c 13.146
_cell_angle_alpha 90.00
_cell_angle_beta 90.00
_cell_angle_gamma 90.00
_space_group_name_H-M_alt 'I 4 m m'
_space_group_IT_number 107
_space_group_name_Hall 'I 4 -2'
loop_
_atom_site_label
_atom_site_fract_x
_atom_site_fract_y
_atom_site_fract_z
Ba1 0.000 0.000 0.000
Hf1 0.000 0.000 0.280
Zn1 0.000 0.000 0.691
```

The relative energy among the computed polymorphs comes out at 244 meV per atom. Its total magnetic moment is 0.008 μB per formula unit.

Below is a relaxed BaHfZn2 crystal, with properties calculated at the PBE level.

```
data_BaHfZn2
_chemical_formula_sum 'Ba4 Hf4 Zn8'
_cell_length_a 7.213
_cell_length_b 7.213
_cell_length_c 7.213
_cell_angle_alpha 90.00
_cell_angle_beta 90.00
_cell_angle_gamma 90.00
_space_group_name_H-M_alt 'F -4 3 m'
_space_group_IT_number 216
_space_group_name_Hall 'F -4 2 3'
loop_
_atom_site_label
_atom_site_fract_x
_atom_site_fract_y
_atom_site_fract_z
Ba1 0.000 0.000 0.000
Hf1 0.250 0.250 0.250
Zn1 0.000 0.000 0.500
Zn2 0.250 0.250 0.750
```

Its total magnetic moment is 0.409 μB per formula unit.

Below is a relaxed BaHf2Zn crystal, with properties calculated at the PBE level.

```
data_BaHf2Zn
_chemical_formula_sum 'Ba4 Hf8 Zn4'
_cell_length_a 7.401
_cell_length_b 7.401
_cell_length_c 7.401
_cell_angle_alpha 90.00
_cell_angle_beta 90.00
_cell_angle_gamma 90.00
_space_group_name_H-M_alt 'F -4 3 m'
_space_group_IT_number 216
_space_group_name_Hall 'F -4 2 3'
loop_
_atom_site_label
_atom_site_fract_x
_atom_site_fract_y
_atom_site_fract_z
Ba1 0.000 0.000 0.000
Hf1 0.000 0.000 0.500
Hf2 0.250 0.250 0.750
Zn1 0.250 0.250 0.250
```

Its total magnetic moment is 1.845 μB per formula unit.

Below is a relaxed BaHfZn crystal, with properties calculated at the PBE level.

```
data_BaHfZn
_chemical_formula_sum 'Ba4 Hf4 Zn4'
_cell_length_a 7.048
_cell_length_b 7.048
_cell_length_c 7.048
_cell_angle_alpha 90.00
_cell_angle_beta 90.00
_cell_angle_gamma 90.00
_space_group_name_H-M_alt 'F -4 3 m'
_space_group_IT_number 216
_space_group_name_Hall 'F -4 2 3'
loop_
_atom_site_label
_atom_site_fract_x
_atom_site_fract_y
_atom_site_fract_z
Ba1 0.000 0.000 0.000
Hf1 0.250 0.250 0.250
Zn1 0.000 0.000 0.500
```

The relative energy among the computed polymorphs comes out at 885 meV per atom. Its total magnetic moment is 0.000 μB per formula unit.

Below is a relaxed BaHfZn crystal, with properties calculated at the PBE level.

```
data_BaHfZn
_chemical_formula_sum 'Ba2 Hf2 Zn2'
_cell_length_a 3.566
_cell_length_b 3.566
_cell_length_c 13.145
_cell_angle_alpha 90.00
_cell_angle_beta 90.00
_cell_angle_gamma 90.00
_space_group_name_H-M_alt 'P 4/m m m'
_space_group_IT_number 123
_space_group_name_Hall '-P 4 2'
loop_
_atom_site_label
_atom_site_fract_x
_atom_site_fract_y
_atom_site_fract_z
Ba1 0.000 0.000 0.178
Hf1 0.500 0.500 0.390
Zn1 0.000 0.000 0.500
Zn2 0.500 0.500 0.000
```

The relative energy among the computed polymorphs comes out at 250 meV per atom. Its total magnetic moment is 0.001 μB per formula unit.

Number 1: energy -5.67 eV per atom. Number 2: energy -4.38 eV per atom. Number 3: energy -3.09 eV per atom. Number 4: energy -4.14 eV per atom. Number 5: energy -2.98 eV per atom. Number 6: energy -5.19 eV per atom. Number 7: energy -3.50 eV per atom. Number 8: energy -4.13 eV per atom.